1.
This record from OQMD describes crystalline TaBiTe at its relaxed geometry. The functional is PBE-GGA.

## Properties
The value obtained for the calculated total energy is -5.354 eV per atom.

abc: 4.9139 4.9139 4.9139
angles: 60.00 60.00 60.00
Closest atoms and distances in Å follow each position.
Atoms (fractional coordinates):
Bi 0.2500 0.2500 0.2500  4 Te 3.01
Ta 0.7500 0.7500 0.7500  4 Te 3.01
Te 0.0000 0.0000 0.0000  4 Ta 3.01, 4 Bi 3.01

=====

2.
This record from OQMD describes crystalline NbGeNO at its relaxed geometry. The functional is PBE-GGA.

## Properties
The value obtained for the calculated total energy is -7.308 eV per atom. The offset from the most stable computed form comes out at 0.490 eV per atom.

abc: 3.3243 3.3243 8.4824
angles: 90.00 90.00 90.00
Closest atoms and distances in Å follow each position.
Atoms (fractional coordinates):
N 0.5000 0.0000 0.2450  4 Nb 2.46, 4 O 2.66, 4 Ge 2.73
N 0.0000 0.5000 0.7550  4 Nb 2.46, 4 O 2.66, 4 Ge 2.73
O 0.0000 0.0000 0.0000  4 Nb 2.14, 4 O 2.35
O 0.5000 0.5000 0.0000  4 Nb 2.14, 4 O 2.35
Ge 0.5000 0.5000 0.5000  4 Ge 2.35
Ge 0.0000 0.0000 0.5000  4 Ge 2.35
Nb 0.5000 0.0000 0.8410  4 O 2.14
Nb 0.0000 0.5000 0.1590  4 O 2.14

=====

3.
This record from OQMD describes crystalline Hg2BPt at its relaxed geometry. The functional is PBE-GGA.

## Properties
The value obtained for the calculated total energy is -2.335 eV per atom.

abc: 4.6087 4.6087 4.6087
angles: 60.00 60.00 60.00
Closest atoms and distances in Å follow each position.
Atoms (fractional coordinates):
B 0.5000 0.5000 0.5000  4 Hg 2.82, 4 Pt 2.82
Hg 0.0000 0.0000 0.0000  4 Hg 2.82, 4 Pt 2.82
Hg 0.7500 0.7500 0.7500  4 Hg 2.82, 4 B 2.82
Pt 0.2500 0.2500 0.2500  4 Hg 2.82, 4 B 2.82

=====

4.
This record from OQMD describes crystalline Li2Sc2Al2CuPt at its relaxed geometry. The functional is PBE-GGA.

## Properties
The value obtained for the calculated total energy is -4.834 eV per atom.

abc: 4.4426 4.4426 6.2711
angles: 90.00 90.00 90.00
Closest atoms and distances in Å follow each position.
Atoms (fractional coordinates):
Pt 0.5000 0.5000 0.5000  4 Al 2.72, 4 Sc 2.73
Sc 0.0000 0.5000 0.7538  4 Li 2.71-2.73, 2 Cu 2.71, 2 Pt 2.73
Sc 0.5000 0.0000 0.2462  4 Li 2.71-2.73, 2 Cu 2.71, 2 Pt 2.73
Al 0.5000 0.0000 0.7493  4 Li 2.72, 2 Pt 2.72, 2 Cu 2.72
Al 0.0000 0.5000 0.2507  4 Li 2.72, 2 Pt 2.72, 2 Cu 2.72
Li 0.5000 0.5000 0.0000  4 Sc 2.71, 4 Al 2.72
Li 0.0000 0.0000 0.5000  4 Al 2.72, 4 Sc 2.73
Cu 0.0000 0.0000 0.0000  4 Sc 2.71, 4 Al 2.72

=====

5.
This record from OQMD describes crystalline GdHfB4 at its relaxed geometry. The functional is PBE-GGA.

## Properties
The value obtained for the calculated total energy is -7.668 eV per atom.

abc: 3.2075 3.2075 7.4616
angles: 90.00 90.00 120.00
Closest atoms and distances in Å follow each position.
Atoms (fractional coordinates):
Gd 0.0000 0.0000 0.0000  12 B 2.74
B 0.6667 0.3333 0.2710  3 B 1.85
B 0.6667 0.3333 0.7290  3 B 1.85
B 0.3333 0.6667 0.2710  3 B 1.85
B 0.3333 0.6667 0.7290  3 B 1.85
Hf 0.0000 0.0000 0.5000  12 B 2.52

=====

6.
This record from OQMD describes crystalline Rb3NaZn2Sn2 at its relaxed geometry. The functional is PBE-GGA.

## Properties
The value obtained for the calculated total energy is -1.987 eV per atom.

abc: 6.7842 6.4485 7.0732
angles: 90.00 105.77 90.00
Closest atoms and distances in Å follow each position.
Atoms (fractional coordinates):
Zn 0.5021 0.7469 0.4882  2 Sn 2.62-2.63
Zn 0.5021 0.2531 0.4882  2 Sn 2.62-2.63
Rb 0.9737 0.0000 0.3259  1 Na 3.81, 4 Zn 3.82-4.03, 4 Sn 3.86-3.93, 4 Rb 4.08-4.12
Rb 0.6780 0.5000 0.0100  4 Sn 3.69-3.79, 3 Rb 3.78-4.12, 2 Zn 3.90, 2 Na 3.96
Rb 0.0438 0.5000 0.6910  4 Sn 3.76-4.03, 3 Rb 3.78-4.08, 4 Zn 3.90-4.08, 2 Na 4.08
Sn 0.2514 0.5000 0.2405  2 Zn 2.62
Sn 0.7135 0.0000 0.7595  2 Zn 2.63
Na 0.3352 0.0000 0.9967  3 Sn 3.43-3.77, 2 Zn 3.73, 1 Rb 3.81